Here is crystalline TiCrCuIr at its relaxed geometry from Alexandria via LeMat-Bulk. Energies are from GGA-PBE.

As for the total moment: 2.88 μB per formula unit. Its volume is 14.0 Å³ per atom. As for the formation energy: -0.1900 eV per atom.

The structure belongs to space group F-43m (No. 216); the cell edges are 6.0688, 6.0688 and 6.0688 Å and the angles 90.00°, 90.00° and 90.00°. The distinct sites, in fractional coordinates, are Ti at (0.0000, 0.0000, 0.0000), Cr at (0.2500, 0.2500, 0.7500), Cu at (0.0000, 0.0000, 0.5000) and Ir at (0.2500, 0.2500, 0.2500).